(1)
Material: PuThInPb
Method: DFT, PBE
State: optimized geometry

The structure in POSCAR format:
```
PuThInPb
1.0
7.739 0.000 0.000
0.000 7.739 0.000
0.000 0.000 7.739
Pu Th In Pb
4 4 4 4
direct
0.000 0.000 0.000 Pu
0.000 0.500 0.500 Pu
0.500 0.000 0.500 Pu
0.500 0.500 0.000 Pu
0.000 0.000 0.500 Th
0.000 0.500 0.000 Th
0.500 0.000 0.000 Th
0.500 0.500 0.500 Th
0.250 0.250 0.250 In
0.250 0.750 0.750 In
0.750 0.250 0.750 In
0.750 0.750 0.250 In
0.250 0.250 0.750 Pb
0.250 0.750 0.250 Pb
0.750 0.250 0.250 Pb
0.750 0.750 0.750 Pb
```

Summary:
Symmetry = F-43m
ρ = 11.44 Mg/m³
Distance to the lowest polymorph of the same formula = 88 meV per atom



(2)
Material: PuTiInPb
Method: DFT, PBE
State: optimized geometry

The structure in POSCAR format:
```
PuTiInPb
1.0
7.299 0.000 0.000
0.000 7.299 0.000
0.000 0.000 7.299
Pu Ti In Pb
4 4 4 4
direct
0.000 0.000 0.000 Pu
0.000 0.500 0.500 Pu
0.500 0.000 0.500 Pu
0.500 0.500 0.000 Pu
0.000 0.000 0.500 Ti
0.000 0.500 0.000 Ti
0.500 0.000 0.000 Ti
0.500 0.500 0.500 Ti
0.250 0.250 0.750 In
0.250 0.750 0.250 In
0.750 0.250 0.250 In
0.750 0.750 0.750 In
0.250 0.250 0.250 Pb
0.250 0.750 0.750 Pb
0.750 0.250 0.750 Pb
0.750 0.750 0.250 Pb
```

Summary:
Symmetry = F-43m
ρ = 10.49 Mg/m³



(3)
Material: PuTlInPb
Method: DFT, PBE
State: optimized geometry

The structure in POSCAR format:
```
PuTlInPb
1.0
7.678 0.000 0.000
0.000 7.678 0.000
0.000 0.000 7.678
Pu Tl In Pb
4 4 4 4
direct
0.000 0.000 0.000 Pu
0.000 0.500 0.500 Pu
0.500 0.000 0.500 Pu
0.500 0.500 0.000 Pu
0.250 0.250 0.750 Tl
0.250 0.750 0.250 Tl
0.750 0.250 0.250 Tl
0.750 0.750 0.750 Tl
0.000 0.000 0.500 In
0.000 0.500 0.000 In
0.500 0.000 0.000 In
0.500 0.500 0.500 In
0.250 0.250 0.250 Pb
0.250 0.750 0.750 Pb
0.750 0.250 0.750 Pb
0.750 0.750 0.250 Pb
```

Summary:
Symmetry = F-43m
ρ = 11.31 Mg/m³
Distance to the lowest polymorph of the same formula = 155 meV per atom



(4)
Material: PuTlInPb
Method: DFT, PBE
State: optimized geometry

The structure in POSCAR format:
```
PuTlInPb
1.0
4.666 0.000 0.000
0.000 4.740 0.000
0.000 0.000 4.888
Pu Tl In Pb
1 1 1 1
direct
0.000 0.000 0.000 Pu
0.500 0.000 0.500 Tl
0.000 0.500 0.500 In
0.500 0.500 0.000 Pb
```

Summary:
Symmetry = Pmmm
ρ = 11.83 Mg/m³
Distance to the lowest polymorph of the same formula = 0 meV per atom



(5)
Material: TmPuInPb
Method: DFT, PBE
State: optimized geometry

The structure in POSCAR format:
```
TmPuInPb
1.0
4.537 0.000 0.000
0.000 4.859 0.000
0.000 0.000 4.892
Tm Pu In Pb
1 1 1 1
direct
0.000 0.000 0.000 Tm
0.000 0.500 0.500 Pu
0.500 0.500 0.000 In
0.500 0.000 0.500 Pb
```

Summary:
Symmetry = Pmmm
ρ = 11.32 Mg/m³
Distance to the lowest polymorph of the same formula = 0 meV per atom



(6)
Material: TmPuInPb
Method: DFT, PBE
State: optimized geometry

The structure in POSCAR format:
```
TmPuInPb
1.0
7.592 0.000 0.000
0.000 7.592 0.000
0.000 0.000 7.592
Tm Pu In Pb
4 4 4 4
direct
0.000 0.000 0.000 Tm
0.000 0.500 0.500 Tm
0.500 0.000 0.500 Tm
0.500 0.500 0.000 Tm
0.000 0.000 0.500 Pu
0.000 0.500 0.000 Pu
0.500 0.000 0.000 Pu
0.500 0.500 0.500 Pu
0.250 0.250 0.250 In
0.250 0.750 0.750 In
0.750 0.250 0.750 In
0.750 0.750 0.250 In
0.250 0.250 0.750 Pb
0.250 0.750 0.250 Pb
0.750 0.250 0.250 Pb
0.750 0.750 0.750 Pb
```

Summary:
Symmetry = F-43m
ρ = 11.15 Mg/m³
Distance to the lowest polymorph of the same formula = 34 meV per atom



Number 1: formation enthalpy at 0 K -0.1176 eV per atom. Number 2: formation enthalpy at 0 K 0.0410 eV per atom. Number 3: formation enthalpy at 0 K 0.0148 eV per atom. Number 4: formation enthalpy at 0 K -0.1403 eV per atom. Number 5: formation enthalpy at 0 K -0.2609 eV per atom. Number 6: formation enthalpy at 0 K -0.2267 eV per atom.